# KP2S2

Crystalline KP2S2 at its relaxed geometry (PBE, Alexandria).

Cell lengths 6.7510, 6.7510, 6.1585 Å; angles 90.00, 90.00, 90.00 degrees
Last column: magnetic moment on the atom in μB.
Fractional coordinates of all 5 atoms:
P1 0.0000 0.5000 0.0000  1.18
P2 0.5000 0.0000 0.0000  1.18
K1 0.0000 0.0000 0.0000  0.03
S1 0.5000 0.5000 0.5000  1.05
S2 0.0000 0.0000 0.5000  0.79

Properties
Formation energy without anion corrections in meV/atom: 1967
Distance to the lowest polymorph of the same formula in meV per atom: 1833

---

# NpInNiRu

Crystalline NpInNiRu at its relaxed geometry (PBE, Alexandria).

Cell lengths 4.6546, 4.6546, 4.6546 Å; angles 60.00, 60.00, 60.00 degrees
Last column: magnetic moment on the atom in μB.
Fractional coordinates of all 4 atoms:
Np1 0.5000 0.5000 0.5000  3.42
Ru1 0.7500 0.7500 0.7500  -0.31
Ni1 0.2500 0.2500 0.2500  -0.17
In1 0.0000 0.0000 0.0000  0.01

Properties
Raw total energy in eV/atom: -7.681

---

# Li2SbMo

Crystalline Li2SbMo at its relaxed geometry (PBE, Alexandria).

Cell lengths 4.7117, 2.9284, 5.2008 Å; angles 77.41, 90.00, 90.00 degrees
Fractional coordinates of all 4 atoms:
Li1 0.0000 0.9408 0.0185
Li2 0.0000 0.5592 0.4815
Mo1 0.5000 0.2500 0.2500
Sb1 0.5000 0.7500 0.7500

Properties
Formation energy without anion corrections in meV/atom: 172

---

# AgSbTeN2

Crystalline AgSbTeN2 at its relaxed geometry (PBE, Alexandria).

Cell lengths 4.3086, 4.3086, 5.8425 Å; angles 90.00, 90.00, 90.00 degrees
Last column: magnetic moment on the atom in μB.
Fractional coordinates of all 5 atoms:
Sb1 0.5000 0.5000 0.5000  -0.16
Te1 0.0000 0.0000 0.5000  0.08
Ag1 0.0000 0.0000 0.0000  0.17
N1 0.0000 0.5000 0.0000  1.11
N2 0.5000 0.0000 0.0000  1.11

Properties
Formation energy without anion corrections in meV/atom: 1727
Distance to the lowest polymorph of the same formula in meV per atom: 526

---

# Pu3Ge7Pt2

Crystalline Pu3Ge7Pt2 at its relaxed geometry (PBE, Alexandria).

Cell lengths 4.2993, 4.3354, 13.1315 Å; angles 99.49, 90.00, 90.00 degrees
Last column: magnetic moment on the atom in μB.
Fractional coordinates of all 12 atoms:
Pu1 0.5000 0.5000 0.0000  5.02
Pu2 0.0000 0.1843 0.3684  -5.30
Pu3 0.0000 0.8157 0.6316  -5.30
Ge1 0.5000 0.7250 0.4501  0.03
Ge2 0.5000 0.2750 0.5499  0.03
Ge3 0.0000 0.5820 0.1637  -0.03
Ge4 0.0000 0.0000 0.0000  -0.04
Ge5 0.0000 0.4180 0.8363  -0.03
Ge6 0.5000 0.9179 0.8359  -0.03
Ge7 0.5000 0.0821 0.1641  -0.03
Pt1 0.5000 0.6304 0.2612  -0.01
Pt2 0.5000 0.3696 0.7388  -0.01

Properties
Raw total energy in eV/atom: -7.785

---

# Na2AcCeS4

Crystalline Na2AcCeS4 at its relaxed geometry (PBE, Alexandria).

Cell lengths 4.2627, 7.3902, 7.1193 Å; angles 110.24, 90.00, 90.00 degrees
Last column: magnetic moment on the atom in μB.
Fractional coordinates of all 8 atoms:
Na1 0.5000 0.0000 0.5000  0.00
Na2 0.0000 0.5000 0.5000  0.00
Ac1 0.0000 0.0000 0.0000  0.01
Ce1 0.5000 0.5000 0.0000  0.94
S1 0.5000 0.2566 0.2389  -0.01
S2 0.5000 0.7434 0.7611  -0.01
S3 0.0000 0.2651 0.7665  -0.01
S4 0.0000 0.7349 0.2335  -0.01

Properties
Formation energy without anion corrections in meV/atom: -1764

---

# K2ErAgCl6

Crystalline K2ErAgCl6 at its relaxed geometry (PBE, Alexandria).

Cell lengths 7.5348, 7.5348, 7.5348 Å; angles 60.00, 60.00, 60.00 degrees
Fractional coordinates of all 10 atoms:
K1 0.7500 0.7500 0.7500
K2 0.2500 0.2500 0.2500
Er1 0.0000 0.0000 0.0000
Ag1 0.5000 0.5000 0.5000
Cl1 0.7557 0.2443 0.2443
Cl2 0.2443 0.2443 0.7557
Cl3 0.2443 0.7557 0.7557
Cl4 0.2443 0.7557 0.2443
Cl5 0.7557 0.2443 0.7557
Cl6 0.7557 0.7557 0.2443

Properties
Formation energy without anion corrections in meV/atom: -1780
Distance to the lowest polymorph of the same formula in meV per atom: 39

---

# GaBr2F

Crystalline GaBr2F at its relaxed geometry (PBE, Alexandria).

Cell lengths 5.7713, 6.2399, 7.4701 Å; angles 105.79, 94.59, 117.48 degrees
Fractional coordinates of all 8 atoms:
Ga1 0.5982 0.2848 0.7305
Ga2 0.2582 0.6052 0.7308
Br1 0.8426 0.4676 0.4910
Br2 0.5279 0.8565 0.5250
Br3 0.3357 0.0499 0.9364
Br4 0.6502 0.6931 0.9699
F1 0.2834 0.2946 0.6022
F2 0.9832 0.4149 0.8590

Properties
Formation energy without anion corrections in meV/atom: -1309
Distance to the lowest polymorph of the same formula in meV per atom: 85